# 1
PBE-GGA Pm4As3Se, relaxed; density of states at the Fermi level = 0.309 states/eV per atom; M_tot = 0.0 μB/f.u.; uncorrected formation energy = -1.65 eV per atom
1.0
5.981 0.000 0.000
0.000 5.981 0.000
0.000 0.000 11.963
Pm As Se
8 6 2
Cartesian
0.000 0.000 2.945 Pm
0.000 0.000 9.019 Pm
0.000 2.990 0.000 Pm
0.000 2.990 5.982 Pm
2.990 0.000 0.000 Pm
2.990 0.000 5.982 Pm
2.990 2.990 3.037 Pm
2.990 2.990 8.927 Pm
0.000 0.000 0.000 As
0.000 2.990 2.991 As
0.000 2.990 8.973 As
2.990 0.000 2.991 As
2.990 0.000 8.973 As
2.990 2.990 5.982 As
0.000 0.000 5.982 Se
2.990 2.990 0.000 Se


# 2
PBE-GGA TbGdTmTl, relaxed; density of states at the Fermi level = 1.227 states/eV per atom; M_tot = 8.5 μB/f.u.; raw total energy = -25.814 eV per formula unit
1.0
7.729 0.000 0.000
0.000 7.729 0.000
0.000 0.000 7.729
Tb Gd Tm Tl
4 4 4 4
Cartesian
0.000 0.000 0.000 Tb
0.000 3.865 3.865 Tb
3.865 0.000 3.865 Tb
3.865 3.865 0.000 Tb
0.000 0.000 3.865 Gd
0.000 3.865 0.000 Gd
3.865 0.000 0.000 Gd
3.865 3.865 3.865 Gd
1.932 1.932 1.932 Tm
1.932 5.797 5.797 Tm
5.797 1.932 5.797 Tm
5.797 5.797 1.932 Tm
1.932 1.932 5.797 Tl
1.932 5.797 1.932 Tl
5.797 1.932 1.932 Tl
5.797 5.797 5.797 Tl


# 3
PBE-GGA VHgRh3, relaxed; density of states at the Fermi level = 0.582 states/eV per atom; M_tot = 0.0 μB/f.u.; raw total energy = -28.527 eV per formula unit
1.0
4.515 0.000 0.000
0.000 4.515 0.000
0.000 0.000 4.515
V Hg Rh
1 1 3
Cartesian
0.000 0.000 0.000 V
2.257 2.257 2.257 Hg
0.000 0.000 2.257 Rh
0.000 2.257 0.000 Rh
2.257 0.000 0.000 Rh


# 4
PBE-GGA FeTcNi, relaxed; density of states at the Fermi level = 0.793 states/eV per atom; M_tot = 2.0 μB/f.u.; raw total energy = -24.508 eV per formula unit
1.0
4.120 0.000 0.000
-2.060 3.568 0.000
0.000 0.000 2.501
Fe Tc Ni
1 1 1
Cartesian
0.000 0.000 0.000 Fe
2.060 1.189 1.250 Tc
0.000 2.379 0.000 Ni


# 5
PBE-GGA Ce3In4Hg2, relaxed; density of states at the Fermi level = 2.686 states/eV per atom; M_tot = 3.4 μB/f.u.; raw total energy = -32.119 eV per formula unit
1.0
7.935 0.000 0.000
-3.967 6.872 0.000
0.000 0.000 4.512
Ce In Hg
3 4 2
Cartesian
-1.610 2.789 0.000 Ce
3.221 0.000 0.000 Ce
2.357 4.082 0.000 Ce
0.000 0.000 0.000 In
-2.952 5.112 2.256 In
1.016 1.759 2.256 In
5.903 0.000 2.256 In
0.000 4.581 2.256 Hg
3.967 2.291 2.256 Hg


# 6
PBE-GGA PmYTcAu, relaxed; density of states at the Fermi level = 0.645 states/eV per atom; M_tot = 0.0 μB/f.u.; raw total energy = -25.968 eV per formula unit
1.0
7.109 0.000 0.000
0.000 7.109 0.000
0.000 0.000 7.109
Pm Y Tc Au
4 4 4 4
Cartesian
0.000 0.000 0.000 Pm
0.000 3.555 3.555 Pm
3.555 0.000 3.555 Pm
3.555 3.555 0.000 Pm
0.000 0.000 3.555 Y
0.000 3.555 0.000 Y
3.555 0.000 0.000 Y
3.555 3.555 3.555 Y
1.777 1.777 1.777 Tc
1.777 5.332 5.332 Tc
5.332 1.777 5.332 Tc
5.332 5.332 1.777 Tc
1.777 1.777 5.332 Au
1.777 5.332 1.777 Au
5.332 1.777 1.777 Au
5.332 5.332 5.332 Au


# 7
PBE-GGA Tb2Cu2BRh4, relaxed; density of states at the Fermi level = 0.248 states/eV per atom; M_tot = 0.0 μB/f.u.; raw total energy = -59.480 eV per formula unit
1.0
-2.955 2.955 3.930
2.955 -2.955 3.930
2.955 2.955 -3.930
Tb Cu B Rh
2 2 1 4
Cartesian
2.955 0.000 1.965 Tb
0.000 2.955 1.965 Tb
0.000 0.000 1.809 Cu
0.000 0.000 6.051 Cu
0.000 0.000 3.930 B
1.467 1.467 0.000 Rh
1.488 -1.488 3.930 Rh
-1.488 1.488 3.930 Rh
1.488 1.488 3.930 Rh


# 8
PBE-GGA NdSi3Pd, relaxed; density of states at the Fermi level = 0.510 states/eV per atom; M_tot = 0.0 μB/f.u.; uncorrected formation energy = -0.38 eV per atom
1.0
2.318 -7.078 0.000
2.318 7.078 0.000
0.000 0.000 5.636
Nd Si Pd
2 6 2
Cartesian
2.318 5.786 4.227 Nd
2.318 -5.786 1.409 Nd
2.318 5.254 1.409 Si
2.318 3.070 0.163 Si
2.318 3.070 2.655 Si
2.318 -3.070 2.981 Si
2.318 -3.070 5.473 Si
2.318 -5.254 4.227 Si
2.318 1.079 4.227 Pd
2.318 -1.079 1.409 Pd


# 9
PBE-GGA UTi2N, relaxed; density of states at the Fermi level = 1.443 states/eV per atom; M_tot = 2.4 μB/f.u.; uncorrected formation energy = -0.65 eV per atom
1.0
2.964 0.000 0.000
-1.482 2.567 0.000
0.000 0.000 24.066
U Ti N
3 6 3
Cartesian
0.000 0.000 0.000 U
0.000 1.711 16.044 U
1.482 0.856 8.022 U
0.000 0.000 2.838 Ti
0.000 0.000 21.227 Ti
0.000 1.711 13.206 Ti
0.000 1.711 18.882 Ti
1.482 0.856 5.184 Ti
1.482 0.856 10.860 Ti
0.000 0.000 12.033 N
0.000 1.711 4.011 N
1.482 0.856 20.055 N


# 10
PBE-GGA MnTc3N, relaxed; density of states at the Fermi level = 1.121 states/eV per atom; M_tot = 0.0 μB/f.u.; uncorrected formation energy = 2.35 eV per atom
1.0
4.360 0.000 0.000
0.000 4.360 0.000
0.000 0.000 4.360
Mn Tc N
1 3 1
Cartesian
0.000 0.000 0.000 Mn
0.000 0.000 2.180 Tc
0.000 2.180 0.000 Tc
2.180 0.000 0.000 Tc
2.180 2.180 2.180 N


# 11
PBE-GGA GaCuAuS2, relaxed; density of states at the Fermi level = 0.504 states/eV per atom; M_tot = 0.0 μB/f.u.; uncorrected formation energy = 0.65 eV per atom
1.0
4.682 0.000 0.000
0.000 4.682 0.000
0.000 0.000 4.973
Ga Cu Au S
1 1 1 2
Cartesian
0.000 0.000 0.000 Ga
2.341 2.341 2.486 Cu
0.000 0.000 2.486 Au
0.000 2.341 0.000 S
2.341 0.000 0.000 S


# 12
PBE-GGA TaVB, relaxed; density of states at the Fermi level = 1.097 states/eV per atom; M_tot = 0.0 μB/f.u.; raw total energy = -26.914 eV per formula unit
1.0
3.679 0.000 0.000
-1.840 3.186 0.000
0.000 0.000 3.440
Ta V B
1 1 1
Cartesian
0.000 0.000 0.000 Ta
0.000 2.124 1.925 V
1.840 1.062 2.291 B


Q: Among the records above, which one has the highest M_tot?
A: TbGdTmTl


Q: Which of these has the highest density of states at the Fermi level?
A: Ce3In4Hg2